A plane-wave DFT calculation with GGA-PBEsol was carried out for an optimized crystal structure of K2AgAu.

As for the volume: 37.56 Å³ per atom. The total magnetization is 0.0 μB/cell. Its energy above the most stable polymorph in this dataset is 0.000 eV/atom.

The structure belongs to space group R3m (No. 160, hexagonal axes); the cell edges are 4.7201, 4.7201 and 23.3611 Å and the angles 90.00°, 90.00° and 120.00°. The asymmetric unit holds K at (0.0000, 0.0000, 0.0000), K at (0.0000, 0.0000, 0.1712), Ag at (0.0000, 0.0000, 0.7526) and Au at (0.0000, 0.0000, 0.4185).

***

A plane-wave DFT calculation with GGA-PBEsol was carried out for an optimized crystal structure of K2AgAu.

As for the volume: 28.94 Å³ per atom. The total magnetization is 0.0 μB/cell. Its energy above the most stable polymorph in this dataset is 0.065 eV/atom.

The structure belongs to space group Imm2 (No. 44); the cell edges are 4.479, 5.271 and 9.806 Å and the angles 90.00°, 90.00° and 90.00°. The asymmetric unit holds K at (0.000, 0.000, 0.000), K at (0.000, 0.500, 0.210), Ag at (0.000, 0.000, 0.433) and Au at (0.000, 0.500, 0.772).